Record 1
A geometry-optimized TmSc2Ag6 structure. Source: Alexandria via LeMat-Bulk, functional PBE.

## Properties
The calculation puts the energy of formation from the pure elements at -0.237 eV per atom. The space-group type is No. 12.

Lattice parameters (Å, degrees): 5.1419 8.9384 8.9384 119.40 90.15 90.15
Fractional coordinates of all 18 atoms:
1 Tm 0.2500 0.2499 0.7501
2 Tm 0.7500 0.7501 0.2499
3 Sc 0.4999 0.6656 0.8342
4 Sc 0.0001 0.1658 0.3344
5 Sc 0.5001 0.3344 0.1658
6 Sc 0.9999 0.8342 0.6656
7 Ag 0.4960 0.6654 0.5025
8 Ag 0.0040 0.4975 0.3346
9 Ag 0.5040 0.3346 0.4975
10 Ag 0.9960 0.5025 0.6654
11 Ag 0.2464 0.9139 0.4138
12 Ag 0.2536 0.5862 0.0861
13 Ag 0.7536 0.0861 0.5862
14 Ag 0.7464 0.4138 0.9139
15 Ag 0.0039 0.8347 0.9973
16 Ag 0.4961 0.0027 0.1653
17 Ag 0.9961 0.1653 0.0027
18 Ag 0.5039 0.9973 0.8347

=====

Record 2
A geometry-optimized Tm2ScAg structure. Source: Alexandria via LeMat-Bulk, functional PBE.

## Properties
The calculation puts the energy of formation from the pure elements at -0.009 eV per atom. The value obtained for the offset from the most stable computed form is 43.9 kJ/mol of formula units. The space-group type is No. 160.

Lattice parameters (Å, degrees): 3.4466 3.4466 10.2573 80.33 80.33 60.00
Fractional coordinates of all 4 atoms:
1 Tm 0.0786 0.0786 0.7641
2 Tm 0.2547 0.2547 0.2360
3 Sc 0.5000 0.5000 0.5000
4 Ag 0.6667 0.6667 0.9998

=====

Record 3
A geometry-optimized TmScAg structure. Source: Alexandria via LeMat-Bulk, functional PBE.

## Properties
The calculation puts the energy of formation from the pure elements at -0.158 eV per atom. The value obtained for the offset from the most stable computed form is 0.0 kJ/mol of formula units. The space-group type is No. 107.

Lattice parameters (Å, degrees): 3.4581 3.4581 6.4566 105.53 105.53 90.00
Fractional coordinates of all 3 atoms:
1 Sc 0.3150 0.3150 0.6300
2 Tm 0.0115 0.0115 0.0229
3 Ag 0.6735 0.6735 0.3470

=====

Record 4
A geometry-optimized Tm3Sc2Ag2 structure. Source: Alexandria via LeMat-Bulk, functional PBE.

## Properties
The calculation puts the energy of formation from the pure elements at -0.075 eV per atom. The value obtained for the offset from the most stable computed form is 0.0 kJ/mol of formula units. The space-group type is No. 12.

Lattice parameters (Å, degrees): 5.1442 5.1516 7.9710 108.73 90.00 119.95
Fractional coordinates of all 7 atoms:
1 Tm 0.5000 0.0000 0.0000
2 Tm 0.6582 0.3164 0.4747
3 Tm 0.3418 0.6836 0.5253
4 Sc 0.9267 0.8534 0.2789
5 Sc 0.0733 0.1466 0.7211
6 Ag 0.7870 0.5740 0.8643
7 Ag 0.2130 0.4260 0.1357

=====

Record 5
A geometry-optimized TmSc2Ag4 structure. Source: Alexandria via LeMat-Bulk, functional PBE.

## Properties
The calculation puts the energy of formation from the pure elements at -0.069 eV per atom. The space-group type is No. 139.

Lattice parameters (Å, degrees): 5.9510 5.9510 5.9510 113.00 107.73 107.73
Fractional coordinates of all 7 atoms:
1 Tm 0.0000 0.0000 0.0000
2 Sc 0.5000 0.5000 0.0000
3 Sc 0.5000 0.0000 0.5000
4 Ag 0.5000 0.0000 0.0000
5 Ag 0.5000 0.5000 0.5000
6 Ag 0.0000 0.0000 0.5000
7 Ag 0.0000 0.5000 0.0000

=====

Record 6
A geometry-optimized Tm4ScAg structure. Source: Alexandria via LeMat-Bulk, functional PBE.

## Properties
The calculation puts the energy of formation from the pure elements at -0.067 eV per atom. The value obtained for the offset from the most stable computed form is 0.0 kJ/mol of formula units. The space-group type is No. 123.

Lattice parameters (Å, degrees): 3.4535 3.4535 13.5344 90.00 90.00 90.00
Fractional coordinates of all 6 atoms:
1 Tm 0.5000 0.5000 0.8294
2 Tm 0.5000 0.5000 0.1706
3 Tm 0.0000 0.0000 0.6426
4 Tm 0.0000 0.0000 0.3574
5 Sc 0.0000 0.0000 0.0000
6 Ag 0.5000 0.5000 0.5000